(1)
First-principles (GGA+U) data for crystalline Ba2CrIO6 at its relaxed geometry, as listed in Alexandria.

Output
Symmetry: R-3m, No. 166
Final energy, eV/cell: -119.2
Calculated volume, Å³/atom: 19.17
M_tot, Bohr magnetons per cell: 1.99

abc: 5.725 5.725 13.907
angles: 78.12 78.12 60.00
Fractional positions:
I 0.500 0.500 0.500
I 0.000 0.000 0.000
Ba 0.302 0.302 0.093
Ba 0.899 0.899 0.303
Ba 0.698 0.698 0.907
Ba 0.101 0.101 0.697
O 0.573 0.106 0.748
O 0.106 0.573 0.748
O 0.815 0.815 0.081
O 0.427 0.894 0.252
O 0.289 0.815 0.081
O 0.185 0.711 0.919
O 0.815 0.289 0.081
O 0.427 0.427 0.252
O 0.185 0.185 0.919
O 0.894 0.427 0.252
O 0.573 0.573 0.748
O 0.711 0.185 0.919
Cr 0.401 0.401 0.798
Cr 0.599 0.599 0.202

***

(2)
First-principles (GGA+U) data for crystalline Ba2CrI2O2 at its relaxed geometry, as listed in Alexandria.

Output
Symmetry: C2/m, No. 12
Final energy, eV/cell: -37.8
Calculated volume, Å³/atom: 28.62
M_tot, Bohr magnetons per cell: 4.00

abc: 4.347 6.807 7.748
angles: 69.99 73.71 71.38
Fractional positions:
O 0.173 0.717 0.937
O 0.827 0.283 0.063
Ba 0.206 0.369 0.219
Ba 0.794 0.631 0.781
I 0.443 0.801 0.313
I 0.557 0.199 0.687
Cr 0.000 0.000 0.000

***

(3)
First-principles (GGA+U) data for crystalline BaCrIO6 at its relaxed geometry, as listed in Alexandria.

Output
Symmetry: P312, No. 149
Final energy, eV/cell: -54.2
Calculated volume, Å³/atom: 15.55
M_tot, Bohr magnetons per cell: 3.00

abc: 5.262 5.262 5.836
angles: 90.00 90.00 60.00
Fractional positions:
O 0.610 0.016 0.313
O 0.374 0.610 0.313
O 0.610 0.374 0.687
O 0.016 0.374 0.313
O 0.374 0.016 0.687
O 0.016 0.610 0.687
Cr 0.667 0.667 0.500
Ba 0.000 0.000 0.000
I 0.333 0.333 0.500